{"formula": "Pr4Ag2Hg", "functional": "GGA-PBE", "state": "optimized geometry", "total_energy_ev_per_atom": -3.75, "polymorph_energy_ev_per_atom": 0.006, "sg": "I-42d (122)", "lattice": [[8.177, 0.050, -0.087], [-2.677, 7.726, 0.087], [-2.823, -3.837, 6.647]], "species": ["Pr", "Pr", "Pr", "Pr", "Pr", "Pr", "Pr", "Pr", "Ag", "Ag", "Ag", "Ag", "Hg", "Hg"], "frac_coords": [[0.129, 0.895, 0.375], [0.625, 0.755, 0.520], [0.984, 0.605, 0.730], [0.270, 0.255, 0.875], [0.621, 0.745, 0.016], [0.766, 0.245, 0.871], [0.480, 0.105, 0.234], [0.125, 0.395, 0.379], [0.875, 0.123, 0.498], [0.502, 0.377, 0.625], [0.375, 0.877, 0.752], [0.248, 0.623, 0.125], [0.000, 0.000, 0.000], [0.750, 0.500, 0.250]]}

---

{"formula": "PrAgHg", "functional": "GGA-PBE", "state": "optimized geometry", "total_energy_ev_per_atom": -2.85, "sg": "F-43m (216)", "lattice": [[4.928, 0.000, 0.000], [2.464, 4.267, 0.000], [2.464, 1.422, 4.023]], "species": ["Pr", "Hg", "Ag"], "frac_coords": [[0.000, 0.000, 0.000], [0.500, 0.500, 0.500], [0.250, 0.250, 0.250]]}

---

Number 1: N(E_F) 1.24 states/eV per atom, ΔH_f (0 K) -1.14 eV/f.u., total moment 0.000 μB/f.u.. Number 2: N(E_F) 1.41 states/eV per atom, ΔH_f (0 K) -0.60 eV/f.u., total moment 0.000 μB/f.u..